(1)
Hf2CdPd: optimized geometry, PBE.

Cell: 7.754 7.754 5.711 Å, 90.00 90.00 90.00°
Space group I-42d (No. 122)
Asymmetric unit:
Hf 0.208 0.250 0.125
Cd 0.000 0.000 0.500
Pd 0.000 0.000 0.000

- magnetic moment (μB per formula unit) = 0.00

=====

(2)
HfCd2Pd6: optimized geometry, PBE.

Cell: 14.307 7.692 2.958 Å, 90.00 101.42 90.00°
Space group C2/m (No. 12)
Asymmetric unit:
Hf 0.000 0.000 0.000
Cd 0.166 0.500 0.661
Pd 0.000 0.298 0.500
Pd 0.164 0.187 0.160

- magnetic moment (μB per formula unit) = 0.00

=====

(3)
Hf2CdPd2: optimized geometry, PBE.

Cell: 4.576 4.576 10.398 Å, 90.00 90.00 90.00°
Space group I4/mmm (No. 139)
Asymmetric unit:
Hf 0.000 0.500 0.250
Cd 0.000 0.000 0.000
Pd 0.000 0.000 0.379

- magnetic moment (μB per formula unit) = 0.00

=====

(4)
Hf2CdPd3: optimized geometry, PBE.

Cell: 12.612 12.612 12.612 Å, 90.00 90.00 90.00°
Space group Fd-3m (No. 227, origin choice 2)
Asymmetric unit:
Hf 0.027 0.027 0.223
Cd 0.000 0.000 0.500
Pd 0.122 0.375 0.875

- magnetic moment (μB per formula unit) = 0.00

=====

Number 1: E_tot -103.04 eV for the cell shown, formation energy 0.25 eV/f.u.. Number 2: E_tot -92.12 eV for the cell shown, formation energy -3.12 eV/f.u.. Number 3: E_tot -65.16 eV for the cell shown, formation energy -1.37 eV/f.u.. Number 4: E_tot -606.13 eV for the cell shown, formation energy -1.48 eV/f.u..